Below is an optimized crystal structure of VAuO2, with properties calculated at the PBE with a Hubbard U level.

Cell: 2.8790 2.8792 9.1613 Å, 90.44 97.52 117.36°
Space group P-1 (No. 2)
Unique sites:
1 V 0.0000 0.0000 0.0000 [1 per cell]
2 Au 0.0000 0.5000 0.5000 [1 per cell]
3 O 0.2670 0.6449 0.8898 [2 per cell]

Properties
DOS(E_F): 0.303 states/eV/atom
DFT total energy: -25.72 eV/cell
Volume: 16.67 Å³/atom